(1)
Compound: BaMgH2Au
Source: the Alexandria database
Functional: PBE-GGA
Structure: optimized geometry

```
data_BaMgH2Au
_symmetry_space_group_name_H-M 'C m c m'
_symmetry_Int_Tables_number 63
_symmetry_space_group_name_Hall '-C 2c 2'
_cell_length_a 4.376
_cell_length_b 11.872
_cell_length_c 7.241
_cell_angle_alpha 90.00
_cell_angle_beta 90.00
_cell_angle_gamma 90.00
loop_
_atom_site_label
_atom_site_fract_x
_atom_site_fract_y
_atom_site_fract_z
_atom_site_occupancy
Ba1 0.000 0.220 0.250 1
Mg1 0.000 0.500 0.000 1
H1 0.000 0.339 0.555 1
Au1 0.000 0.050 0.750 1
```

Computed properties:
raw total energy	-3.140	eV per atom

***

(2)
Compound: KCaPb2
Source: the Alexandria database
Functional: PBE-GGA
Structure: optimized geometry

```
data_KCaPb2
_symmetry_space_group_name_H-M 'P 1 2/m 1'
_symmetry_Int_Tables_number 10
_symmetry_space_group_name_Hall '-P 2y'
_cell_length_a 3.532
_cell_length_b 4.936
_cell_length_c 7.852
_cell_angle_alpha 90.00
_cell_angle_beta 90.17
_cell_angle_gamma 90.00
loop_
_atom_site_label
_atom_site_fract_x
_atom_site_fract_y
_atom_site_fract_z
_atom_site_occupancy
K1 0.000 0.000 0.000 1
Ca1 0.000 0.000 0.500 1
Pb1 0.499 0.500 0.298 1
```

Computed properties:
raw total energy	-2.961	eV per atom

***

(3)
Compound: Nd2YHo2Tm2
Source: the Alexandria database
Functional: PBE-GGA
Structure: optimized geometry

```
data_Nd2YHo2Tm2
_symmetry_space_group_name_H-M 'C 1 2/m 1'
_symmetry_Int_Tables_number 12
_symmetry_space_group_name_Hall '-C 2y'
_cell_length_a 17.622
_cell_length_b 3.488
_cell_length_c 8.458
_cell_angle_alpha 90.00
_cell_angle_beta 116.96
_cell_angle_gamma 90.00
loop_
_atom_site_label
_atom_site_fract_x
_atom_site_fract_y
_atom_site_fract_z
_atom_site_occupancy
Nd1 0.149 0.000 0.385 1
Y1 0.000 0.500 0.500 1
Ho1 0.070 0.000 0.905 1
Tm1 0.211 0.500 0.801 1
```

Computed properties:
raw total energy	-4.720	eV per atom

***

D(E_F) for the records above, in order: 0.32; 0.42; 1.78 states/eV/atom